No. 1
Li12ErPd6 GGA-PBE relaxed; energy of formation = -0.328 eV/atom; total magnetic moment = 0.000 μB per cell; calculated density = 4.61 Mg/m³; VASP energy = -3.42 eV per atom
1.0
-5.7408 3.6426 0.7985
-3.2900 -3.9068 -4.5581
-2.1609 -4.2109 4.9460
Pd Li Er
6 12 1
Cartesian
-4.1553 -2.3879 -2.4316 Pd
-5.1180 1.0072 1.2933 Pd
-6.0737 -5.4823 -0.1069 Pd
-3.1567 -3.5895 2.4559 Pd
-8.0350 -0.8856 -1.2695 Pd
-7.0364 -2.0871 3.6180 Pd
-4.0308 -3.6480 -0.1226 Li
-1.8644 -1.2094 2.0127 Li
-9.3273 -3.2657 -0.8263 Li
-4.6503 -1.4208 2.4345 Li
-1.8069 -2.1596 -1.0298 Li
-5.3477 -0.5407 -0.8247 Li
-6.5414 -3.0543 -1.2480 Li
-7.1609 -0.8270 1.3090 Li
-2.8899 0.7455 -0.2874 Li
-5.8440 -3.9344 2.0111 Li
-8.3018 -5.2205 1.4738 Li
-9.3847 -2.3154 2.2162 Li
0.0000 0.0000 0.0000 Er

---

No. 2
MgIn2SeS GGA-PBE relaxed; total magnetic moment = 0.001 μB per cell; formation energy from raw total energies = 0.09 eV/atom; calculated density = 4.08 Mg/m³; VASP energy = -2.85 eV per atom
1.0
-2.7661 3.6136 -3.5741
1.0605 -2.5941 -3.4435
-4.8909 -2.9992 0.7530
S Se In Mg
1 1 2 1
Cartesian
0.5303 -1.2970 -1.7218 S
-3.2983 -0.9898 -3.1323 Se
-1.3831 1.8068 -1.7870 In
-2.4455 -1.4996 0.3765 In
0.0000 0.0000 0.0000 Mg

---

No. 3
KSnB GGA-PBE relaxed; energy of formation = 0.712 eV/atom; total magnetic moment = 0.033 μB per cell; calculated density = 2.87 Mg/m³; VASP energy = -3.21 eV per atom
1.0
3.6385 -3.9775 0.0000
3.6385 3.9775 0.0000
0.0000 0.0000 6.7476
B Sn K
2 2 2
Cartesian
3.6385 0.0000 3.3738 B
3.6385 0.0000 0.0000 B
3.6385 1.3754 5.0607 Sn
3.6385 -1.3754 1.6869 Sn
3.6385 -2.7966 5.0607 K
3.6385 2.7966 1.6869 K